First-principles (PBE) data for Y2Co2As after structural relaxation, as listed in the Alexandria database.

Values from the calculation:
Volume: 186.1 Å³/cell
E_form: -203.4 kJ/mol of formula units

Lattice parameters (Å, degrees): 6.837 6.837 3.982 90.00 90.00 90.00
Each line ends with the local moment (μB).
Atoms (fractional coordinates):
Y  0.184  0.684  0.500  -0.10
Y  0.684  0.816  0.500  -0.10
Y  0.816  0.316  0.500  -0.10
Y  0.316  0.184  0.500  -0.10
As  0.000  0.000  0.000  0.04
As  0.500  0.500  0.000  0.04
Co  0.384  0.884  0.000  0.88
Co  0.884  0.616  0.000  0.84
Co  0.616  0.116  0.000  0.88
Co  0.116  0.384  0.000  0.84

---

First-principles (PBE) data for Y3CoAs after structural relaxation, as listed in the Alexandria database.

Values from the calculation:
Volume: 131.8 Å³/cell
ΔE to the lowest computed polymorph: 0 meV/atom
E_form: -125.6 kJ/mol of formula units

Lattice parameters (Å, degrees): 5.089 5.089 5.089 90.00 90.00 90.00
Atoms (fractional coordinates):
Y  0.000  0.500  0.000
Y  0.000  0.000  0.500
Y  0.500  0.000  0.000
As  0.500  0.500  0.500
Co  0.000  0.000  0.000

---

Please write out number 1 again, unchanged.
First-principles (PBE) data for Y2Co2As after structural relaxation, as listed in the Alexandria database.

Values from the calculation:
Volume: 186.1 Å³/cell
E_form: -203.4 kJ/mol of formula units

Lattice parameters (Å, degrees): 6.837 6.837 3.982 90.00 90.00 90.00
Each line ends with the local moment (μB).
Atoms (fractional coordinates):
Y  0.184  0.684  0.500  -0.10
Y  0.684  0.816  0.500  -0.10
Y  0.816  0.316  0.500  -0.10
Y  0.316  0.184  0.500  -0.10
As  0.000  0.000  0.000  0.04
As  0.500  0.500  0.000  0.04
Co  0.384  0.884  0.000  0.88
Co  0.884  0.616  0.000  0.84
Co  0.616  0.116  0.000  0.88
Co  0.116  0.384  0.000  0.84

---

> E_form of number 2 (Y3CoAs)?

-125.6 kJ/mol of formula units

---

> Which value of E_form does entry 2 give?

-125.6 kJ/mol of formula units